CsLiCuCl3: optimized geometry, PBE.

Calculated total energy, eV per atom: -3.4319
Total moment, μB/atom: 0.01
ΔE_f (raw), eV per formula unit: -8.19

abc: 13.187 7.452 7.750
angles: 90.00 113.71 90.00
Space group C2/m (No. 12)
Symmetry-distinct sites (fractional):
Cs  0.216  0.000  0.189 x4
Li  0.083  0.500  0.256 x4
Cu  0.000  0.194  0.500 x4
Cl  0.025  0.246  0.787 x8
Cl  0.234  0.000  0.660 x4